*P*
Compound: LaAlC3
Source: Alexandria
Functional: GGA-PBE
Structure: relaxed

POSCAR file:
```
LaAlC3
1.0
4.030 0.000 0.000
0.000 4.030 0.000
0.000 0.000 4.030
La Al C
1 1 3
Direct
0.000 0.000 0.000 La
0.500 0.500 0.500 Al
0.000 0.500 0.500 C
0.500 0.000 0.500 C
0.500 0.500 0.000 C
```

Output
space-group type: Pm-3m, No. 221

***

*Q*
Compound: LaAlC3
Source: Alexandria
Functional: GGA-PBE
Structure: relaxed

POSCAR file:
```
LaAlC3
1.0
4.475 0.000 0.000
0.000 4.475 0.000
0.000 0.000 4.475
La Al C
1 1 3
Direct
0.000 0.000 0.000 La
0.500 0.500 0.500 Al
0.000 0.000 0.500 C
0.000 0.500 0.000 C
0.500 0.000 0.000 C
```

Output
space-group type: Pm-3m, No. 221

***

Stability ranking, top entry: *P*; the second entry is 1750 meV per atom less favorable.

***

*P*
Compound: LiLa2AlC
Source: Alexandria
Functional: GGA-PBE
Structure: relaxed

POSCAR file:
```
LiLa2AlC
1.0
5.220 0.000 0.000
0.000 5.220 0.000
0.000 0.000 4.290
Li La Al C
1 2 1 1
Direct
0.000 0.000 0.000 Li
0.000 0.500 0.500 La
0.500 0.000 0.500 La
0.500 0.500 0.000 Al
0.000 0.000 0.500 C
```

Output
space-group type: P4/mmm, No. 123

***

*Q*
Compound: LiLa2AlC
Source: Alexandria
Functional: GGA-PBE
Structure: relaxed

POSCAR file:
```
LiLa2AlC
1.0
5.377 0.000 0.000
0.000 5.377 0.000
0.000 0.000 4.028
Li La Al C
1 2 1 1
Direct
0.000 0.000 0.000 Li
0.000 0.500 0.500 La
0.500 0.000 0.500 La
0.500 0.500 0.000 Al
0.500 0.500 0.500 C
```

Output
space-group type: P4/mmm, No. 123

***

Stability ranking, top entry: *Q*; the second entry is 34 meV per atom less favorable.

***

*P*
Compound: La2MgAlC
Source: Alexandria
Functional: GGA-PBE
Structure: relaxed

POSCAR file:
```
La2MgAlC
1.0
5.277 0.000 0.000
0.000 5.277 0.000
0.000 0.000 4.394
La Mg Al C
2 1 1 1
Direct
0.000 0.500 0.000 La
0.500 0.000 0.000 La
0.000 0.000 0.500 Mg
0.500 0.500 0.500 Al
0.000 0.000 0.000 C
```

Output
space-group type: P4/mmm, No. 123

***

*Q*
Compound: La2MgAlC
Source: Alexandria
Functional: GGA-PBE
Structure: relaxed

POSCAR file:
```
La2MgAlC
1.0
5.440 0.000 0.000
0.000 5.440 0.000
0.000 0.000 4.026
La Mg Al C
2 1 1 1
Direct
0.000 0.500 0.000 La
0.500 0.000 0.000 La
0.000 0.000 0.500 Mg
0.500 0.500 0.500 Al
0.500 0.500 0.000 C
```

Output
space-group type: P4/mmm, No. 123

***

Stability ranking, top entry: *P*; the second entry is 5 meV per atom less favorable.

***

*P*
Compound: La2MnAlC
Source: Alexandria
Functional: GGA-PBE
Structure: relaxed

POSCAR file:
```
La2MnAlC
1.0
5.384 0.000 0.000
0.000 5.384 0.000
0.000 0.000 3.820
La Mn Al C
2 1 1 1
Direct
0.000 0.500 0.000 La
0.500 0.000 0.000 La
0.000 0.000 0.500 Mn
0.500 0.500 0.500 Al
0.000 0.000 0.000 C
```

Output
space-group type: P4/mmm, No. 123

***

*Q*
Compound: La2MnAlC
Source: Alexandria
Functional: GGA-PBE
Structure: relaxed

POSCAR file:
```
La2MnAlC
1.0
5.032 0.000 0.000
0.000 5.032 0.000
0.000 0.000 4.564
La Mn Al C
2 1 1 1
Direct
0.000 0.500 0.000 La
0.500 0.000 0.000 La
0.000 0.000 0.000 Mn
0.000 0.000 0.500 Al
0.500 0.500 0.500 C
```

Output
space-group type: P4/mmm, No. 123

***

Stability ranking, top entry: *P*; the second entry is 958 meV per atom less favorable.

***

*P*
Compound: LaAlOs2C
Source: Alexandria
Functional: GGA-PBE
Structure: relaxed

POSCAR file:
```
LaAlOs2C
1.0
2.087 -5.576 0.000
2.087 5.576 0.000
0.000 0.000 7.297
La Al Os C
2 2 4 2
Direct
0.051 0.949 0.750 La
0.949 0.051 0.250 La
0.228 0.772 0.250 Al
0.772 0.228 0.750 Al
0.334 0.666 0.562 Os
0.334 0.666 0.938 Os
0.666 0.334 0.062 Os
0.666 0.334 0.438 Os
0.500 0.500 0.000 C
0.500 0.500 0.500 C
```

Output
space-group type: Cmcm, No. 63

***

*Q*
Compound: LaAlOs2C
Source: Alexandria
Functional: GGA-PBE
Structure: relaxed

POSCAR file:
```
LaAlOs2C
1.0
4.146 0.000 0.000
0.000 4.146 0.000
0.000 0.000 4.955
La Al Os C
1 1 2 1
Direct
0.000 0.000 0.000 La
0.500 0.500 0.000 Al
0.000 0.500 0.500 Os
0.500 0.000 0.500 Os
0.000 0.000 0.500 C
```

Output
space-group type: P4/mmm, No. 123

***

Stability ranking, top entry: *P*; the second entry is 700 meV per atom less favorable.

***

*P*
Compound: La2AlSbC
Source: Alexandria
Functional: GGA-PBE
Structure: relaxed

POSCAR file:
```
La2AlSbC
1.0
5.902 0.000 0.000
0.000 5.902 0.000
0.000 0.000 3.715
La Al Sb C
2 1 1 1
Direct
0.000 0.500 0.000 La
0.500 0.000 0.000 La
0.000 0.000 0.000 Al
0.500 0.500 0.500 Sb
0.000 0.000 0.500 C
```

Output
space-group type: P4/mmm, No. 123

***

*Q*
Compound: La2AlSbC
Source: Alexandria
Functional: GGA-PBE
Structure: relaxed

POSCAR file:
```
La2AlSbC
1.0
5.420 0.000 0.000
0.000 5.420 0.000
0.000 0.000 4.043
La Al Sb C
2 1 1 1
Direct
0.000 0.500 0.000 La
0.500 0.000 0.000 La
0.000 0.000 0.500 Al
0.500 0.500 0.500 Sb
0.000 0.000 0.000 C
```

Output
space-group type: P4/mmm, No. 123

***

Stability ranking, top entry: *Q*; the second entry is 648 meV per atom less favorable.